VASP calculation (PBE+U) on an optimized crystal structure of Ba3MnPd2O6.

The calculated total energy comes out at -5.9266 eV/atom. The calculation puts the size of the total moment at 2.68 μB/f.u. The density of states at the Fermi level is 0.50 states/eV/atom.

The space group is P-3m1 (No. 164) and the conventional cell measures 5.9267, 5.9267 and 6.7820 Å, with angles of 90.00, 90.00 and 120.00 degrees. The asymmetric unit holds Ba at (0.0000, 0.0000, 0.0000), Ba at (0.3333, 0.6667, 0.6402), Mn at (0.0000, 0.0000, 0.5000), Pd at (0.3333, 0.6667, 0.1588) and O at (0.1591, 0.3183, 0.3227).